[1]
! Ca2TlInO5 GGA-PBE optimized geometry; values from VASP
&SYSTEM
  ibrav = 0, nat = 18, ntyp = 4
/
ATOMIC_SPECIES
Ca 40.08 Ca.upf
Tl 204.38 Tl.upf
In 114.82 In.upf
O 16.00 O.upf
CELL_PARAMETERS angstrom
1.709 -6.649 0.000
1.709 6.649 0.000
0.000 0.000 11.984
ATOMIC_POSITIONS crystal
Ca 0.072 0.928 0.500
Ca 0.162 0.838 0.093
Ca 0.838 0.162 0.593
Ca 0.928 0.072 0.000
Tl 0.455 0.545 0.276
Tl 0.545 0.455 0.776
In 0.248 0.752 0.857
In 0.752 0.248 0.357
O 0.086 0.914 0.889
O 0.251 0.749 0.496
O 0.276 0.724 0.242
O 0.404 0.596 0.876
O 0.478 0.522 0.610
O 0.522 0.478 0.110
O 0.596 0.404 0.376
O 0.724 0.276 0.742
O 0.749 0.251 0.996
O 0.914 0.086 0.389
! Uncorrected energy: -50.880 eV per formula unit
! ΔE_f (raw): -1.89 eV per atom


[2]
! CaTmIn4O8 GGA-PBE optimized geometry; values from VASP
&SYSTEM
  ibrav = 0, nat = 14, ntyp = 4
/
ATOMIC_SPECIES
Ca 40.08 Ca.upf
Tm 168.93 Tm.upf
In 114.82 In.upf
O 16.00 O.upf
CELL_PARAMETERS angstrom
3.327 1.921 5.476
-3.327 1.921 5.476
0.000 -3.842 5.476
ATOMIC_POSITIONS crystal
Ca 0.000 0.000 0.000
Tm 0.626 0.626 0.626
In 0.121 0.626 0.626
In 0.250 0.250 0.250
In 0.626 0.121 0.626
In 0.626 0.626 0.121
O 0.383 0.383 0.844
O 0.383 0.844 0.383
O 0.387 0.387 0.387
O 0.414 0.861 0.861
O 0.844 0.383 0.383
O 0.860 0.860 0.860
O 0.861 0.414 0.861
O 0.861 0.861 0.414
! DOS(E_F): 1.672 states/eV/f.u.
! Uncorrected energy: -85.972 eV per formula unit
! ΔE_f (raw): -2.06 eV per atom


[3]
! CaUInO6 GGA-PBE optimized geometry; values from VASP
&SYSTEM
  ibrav = 0, nat = 18, ntyp = 4
/
ATOMIC_SPECIES
Ca 40.08 Ca.upf
U 238.03 U.upf
In 114.82 In.upf
O 16.00 O.upf
CELL_PARAMETERS angstrom
5.108 0.000 0.000
0.000 5.108 0.000
0.000 0.000 10.213
ATOMIC_POSITIONS crystal
Ca 0.000 0.000 0.000
Ca 0.500 0.500 0.500
U 0.000 0.000 0.665
U 0.500 0.500 0.165
In 0.000 0.000 0.331
In 0.500 0.500 0.831
O 0.181 0.181 0.506
O 0.196 0.196 0.812
O 0.209 0.209 0.175
O 0.291 0.709 0.675
O 0.304 0.696 0.312
O 0.319 0.681 0.006
O 0.681 0.319 0.006
O 0.696 0.304 0.312
O 0.709 0.291 0.675
O 0.791 0.791 0.175
O 0.804 0.804 0.812
O 0.819 0.819 0.506
! DOS(E_F): 9.078 states/eV/f.u.
! Uncorrected energy: -67.392 eV per formula unit
! ΔE_f (raw): -2.40 eV per atom


[4]
! Ca2UInO6 GGA-PBE optimized geometry; values from VASP
&SYSTEM
  ibrav = 0, nat = 20, ntyp = 4
/
ATOMIC_SPECIES
Ca 40.08 Ca.upf
U 238.03 U.upf
In 114.82 In.upf
O 16.00 O.upf
CELL_PARAMETERS angstrom
5.720 0.000 0.000
0.000 5.932 0.000
-5.648 0.000 8.266
ATOMIC_POSITIONS crystal
Ca 0.232 0.054 0.247
Ca 0.232 0.446 0.747
Ca 0.768 0.554 0.253
Ca 0.768 0.946 0.753
U 0.500 0.000 0.000
U 0.500 0.500 0.500
In 0.000 0.000 0.500
In 0.000 0.500 0.000
O 0.136 0.193 0.941
O 0.136 0.307 0.441
O 0.242 0.701 0.933
O 0.242 0.799 0.433
O 0.373 0.053 0.753
O 0.373 0.447 0.253
O 0.627 0.553 0.747
O 0.627 0.947 0.247
O 0.758 0.201 0.567
O 0.758 0.299 0.067
O 0.864 0.693 0.559
O 0.864 0.807 0.059
! Uncorrected energy: -75.620 eV per formula unit
! ΔE_f (raw): -2.78 eV per atom